Entry 1:
A geometry-optimized CuP2Cl structure, computed with GGA-PBE.

The density of states at the Fermi level is 7.1 states/eV per cell.

The space group is Cmm2 (No. 35) and the conventional cell measures 3.244, 8.056 and 8.171 Å, with angles of 90.00, 90.00 and 90.00 degrees. The inequivalent atoms are Cu at (0.000, 0.000, 0.000), P at (0.000, 0.000, 0.600), P at (0.000, 0.500, 0.771) and Cl at (0.000, 0.500, 0.192).

Entry 2:
A geometry-optimized CuP2Cl structure, computed with GGA-PBE.

The density of states at the Fermi level is 4.0 states/eV per cell.

The space group is P2_1/c (No. 14) and the conventional cell measures 8.060, 4.852 and 12.490 Å, with angles of 90.00, 128.90 and 90.00 degrees. The inequivalent atoms are Cu at (0.176, 0.206, 0.250), P at (0.319, 0.515, 0.197), P at (0.421, 0.602, 0.801) and Cl at (0.135, 0.043, 0.888).

What calculated total energy values result from the calculations? In sequence: -32.50 -69.85 eV per cell.